Record 1
## ZnIr2OsPd (PBE-GGA)

Data for a geometry-optimized ZnIr2OsPd structure.

abc: 4.746 4.746 4.404
angles: 90.00 90.00 90.00
Space group P4/mmm (No. 123)
Asymmetric unit:
1 Zn 0.000 0.000 0.000
2 Ir 0.000 0.500 0.500
3 Os 0.500 0.500 0.000
4 Pd 0.000 0.000 0.500

As for the crystal system: tetragonal. As for the formation enthalpy at 0 K: 2.10 eV per atom.


Record 2
## Dy3GeTeCl (PBE-GGA)

Data for a geometry-optimized Dy3GeTeCl structure.

abc: 8.638 4.157 9.758
angles: 90.00 93.94 90.00
Space group P2_1/m (No. 11)
Asymmetric unit:
1 Dy 0.096 0.250 0.348
2 Dy 0.163 0.250 0.928
3 Dy 0.365 0.750 0.640
4 Ge 0.137 0.250 0.643
5 Te 0.364 0.750 0.319
6 Cl 0.364 0.750 0.927

For the uncorrected formation energy, the calculation gives -1.17 eV per atom. As for the crystal system: monoclinic.


Record 3
## ZrRh2Cl (PBE-GGA)

Data for a geometry-optimized ZrRh2Cl structure.

abc: 3.0253 3.0253 27.0346
angles: 90.00 90.00 120.00
Space group R3m (No. 160, hexagonal axes)
Asymmetric unit:
1 Zr 0.0000 0.0000 0.0000
2 Rh 0.0000 0.0000 0.4945
3 Rh 0.0000 0.0000 0.7519
4 Cl 0.0000 0.0000 0.2621

For the uncorrected formation energy, the calculation gives -0.16 eV per atom. As for the crystal system: trigonal.


Record 4
## Li4Pr3Ga4 (PBE-GGA)

Data for a geometry-optimized Li4Pr3Ga4 structure.

abc: 4.713 6.736 15.012
angles: 90.00 90.00 90.00
Space group Immm (No. 71)
Asymmetric unit:
1 Li 0.000 0.194 0.168
2 Pr 0.000 0.000 0.366
3 Pr 0.000 0.500 0.500
4 Ga 0.000 0.313 0.000
5 Ga 0.000 0.500 0.290

As for the crystal system: orthorhombic. As for the formation enthalpy at 0 K: -0.36 eV per atom.